{
  "formula": "PaI4Br",
  "functional": "PBE",
  "state": "optimized geometry",
  "lattice": [[8.091, -3.617, 0.000], [8.091, 3.617, 0.000], [-1.190, 0.000, 8.656]],
  "species": ["Pa", "Pa", "I", "I", "I", "I", "I", "I", "I", "I", "Br", "Br"],
  "frac_coords": [[0.042, 0.042, 0.225], [0.958, 0.958, 0.775], [0.140, 0.660, 0.074], [0.217, 0.217, 0.341], [0.240, 0.760, 0.500], [0.340, 0.860, 0.926], [0.660, 0.140, 0.074], [0.760, 0.240, 0.500], [0.783, 0.783, 0.659], [0.860, 0.340, 0.926], [0.386, 0.386, 0.734], [0.614, 0.614, 0.266]],
  "magmom_total_mub_per_cell": 0.1,
  "spacegroup": "C2/m, No. 12",
  "formation_energy_uncorrected_ev_per_atom": -0.693,
  "polymorph_energy_mev_per_atom": 278
}